Entry 1:
VASP calculation (PBE) on TbSmHo2 after structural relaxation.

Cell and atoms, written as POSCAR:
```
TbSmHo2
1.0
3.558 0.000 0.000
0.000 3.558 0.000
0.000 0.000 10.065
Tb Sm Ho
1 1 2
direct
0.000 0.000 0.000 Tb
0.000 0.000 0.500 Sm
0.500 0.500 0.248 Ho
0.500 0.500 0.752 Ho
```

Results
V	31.8	Å³ per atom
space group	P4/mmm, No. 123
formation energy	19	meV/atom

***

Entry 2:
VASP calculation (PBE) on Tb2Sm3Ho6 after structural relaxation.

Cell and atoms, written as POSCAR:
```
Tb2Sm3Ho6
1.0
1.780 1.028 31.835
-1.780 1.028 31.835
0.000 -2.055 31.835
Tb Sm Ho
2 3 6
direct
0.045 0.045 0.045 Tb
0.955 0.955 0.955 Tb
0.228 0.228 0.228 Sm
0.500 0.500 0.500 Sm
0.772 0.772 0.772 Sm
0.136 0.136 0.136 Ho
0.318 0.318 0.318 Ho
0.408 0.408 0.408 Ho
0.592 0.592 0.592 Ho
0.682 0.682 0.682 Ho
0.864 0.864 0.864 Ho
```

Results
V	31.8	Å³ per atom
space group	R-3m, No. 166
formation energy	17	meV/atom

***

Entry 3:
VASP calculation (PBE) on Tb2Sm3Ho2 after structural relaxation.

Cell and atoms, written as POSCAR:
```
Tb2Sm3Ho2
1.0
8.744 -1.755 0.000
8.744 1.755 0.000
-4.166 0.000 7.499
Tb Sm Ho
2 3 2
direct
0.145 0.145 0.323 Tb
0.855 0.855 0.677 Tb
0.000 0.000 0.500 Sm
0.213 0.213 0.802 Sm
0.787 0.787 0.198 Sm
0.435 0.435 0.092 Ho
0.565 0.565 0.908 Ho
```

Results
V	32.9	Å³ per atom
space group	C2/m, No. 12
formation energy	110	meV/atom

***

Entry 4:
VASP calculation (PBE) on Tb8SmHo3 after structural relaxation.

Cell and atoms, written as POSCAR:
```
Tb8SmHo3
1.0
-3.231 5.617 5.693
3.231 -5.617 5.693
3.231 5.617 -5.693
Tb Sm Ho
8 1 3
direct
0.082 0.249 0.833 Tb
0.245 0.253 0.498 Tb
0.245 0.747 0.993 Tb
0.417 0.249 0.167 Tb
0.583 0.751 0.833 Tb
0.755 0.253 0.007 Tb
0.755 0.747 0.502 Tb
0.918 0.751 0.167 Tb
0.500 0.500 0.000 Sm
0.000 0.000 0.000 Ho
0.246 0.746 0.500 Ho
0.754 0.254 0.500 Ho
```

Results
V	34.4	Å³ per atom
space group	Immm, No. 71
formation energy	331	meV/atom

***

Entry 5:
VASP calculation (PBE) on TbSm10Ho4 after structural relaxation.

Cell and atoms, written as POSCAR:
```
TbSm10Ho4
1.0
-6.129 6.129 3.870
6.129 -6.129 3.870
6.129 6.129 -3.870
Tb Sm Ho
1 10 4
direct
0.000 0.000 0.000 Tb
0.050 0.350 0.899 Sm
0.150 0.050 0.700 Sm
0.250 0.750 0.500 Sm
0.350 0.451 0.300 Sm
0.451 0.150 0.101 Sm
0.549 0.850 0.899 Sm
0.650 0.549 0.700 Sm
0.750 0.250 0.500 Sm
0.850 0.950 0.300 Sm
0.950 0.650 0.101 Sm
0.200 0.400 0.600 Ho
0.400 0.800 0.199 Ho
0.600 0.200 0.801 Ho
0.800 0.600 0.400 Ho
```

Results
V	38.8	Å³ per atom
space group	I4/m, No. 87
formation energy	708	meV/atom

***

Entry 6:
VASP calculation (PBE) on Tb2SmHo7 after structural relaxation.

Cell and atoms, written as POSCAR:
```
Tb2SmHo7
1.0
4.336 -8.420 0.000
4.336 8.420 0.000
0.000 0.000 5.306
Tb Sm Ho
2 1 7
direct
0.201 0.799 0.000 Tb
0.799 0.201 0.000 Tb
0.500 0.500 0.500 Sm
0.000 0.000 0.000 Ho
0.211 0.433 0.000 Ho
0.299 0.701 0.500 Ho
0.433 0.211 0.000 Ho
0.567 0.789 0.000 Ho
0.701 0.299 0.500 Ho
0.789 0.567 0.000 Ho
```

Results
V	38.7	Å³ per atom
space group	Cmmm, No. 65
formation energy	703	meV/atom

***

Entry 7:
VASP calculation (PBE) on TbSm12Ho6 after structural relaxation.

Cell and atoms, written as POSCAR:
```
TbSm12Ho6
1.0
7.366 4.253 3.473
-7.366 4.253 3.473
0.000 -8.505 3.473
Tb Sm Ho
1 12 6
direct
0.000 0.000 0.000 Tb
0.135 0.279 0.827 Sm
0.173 0.865 0.721 Sm
0.192 0.483 0.580 Sm
0.279 0.827 0.135 Sm
0.420 0.808 0.517 Sm
0.483 0.580 0.192 Sm
0.517 0.420 0.808 Sm
0.580 0.192 0.483 Sm
0.721 0.173 0.865 Sm
0.808 0.517 0.420 Sm
0.827 0.135 0.279 Sm
0.865 0.721 0.173 Sm
0.077 0.455 0.190 Ho
0.190 0.077 0.455 Ho
0.455 0.190 0.077 Ho
0.545 0.810 0.923 Ho
0.810 0.923 0.545 Ho
0.923 0.545 0.810 Ho
```

Results
V	34.4	Å³ per atom
space group	R-3, No. 148
formation energy	242	meV/atom

***

Entry 8:
VASP calculation (PBE) on TbSmHo14 after structural relaxation.

Cell and atoms, written as POSCAR:
```
TbSmHo14
1.0
11.409 0.000 0.000
0.000 3.549 6.145
0.000 -3.549 6.145
Tb Sm Ho
1 1 14
direct
0.000 0.000 0.000 Tb
0.000 0.500 0.500 Sm
0.000 0.000 0.500 Ho
0.000 0.500 0.000 Ho
0.250 0.167 0.167 Ho
0.251 0.667 0.667 Ho
0.252 0.167 0.667 Ho
0.252 0.667 0.167 Ho
0.500 0.333 0.333 Ho
0.500 0.334 0.834 Ho
0.500 0.834 0.334 Ho
0.500 0.834 0.834 Ho
0.748 0.167 0.667 Ho
0.748 0.667 0.167 Ho
0.749 0.667 0.667 Ho
0.750 0.167 0.167 Ho
```

Results
V	31.1	Å³ per atom
space group	Amm2, No. 38
formation energy	5	meV/atom

***

Entry 9:
VASP calculation (PBE) on Tb2Sm3Ho after structural relaxation.

Cell and atoms, written as POSCAR:
```
Tb2Sm3Ho
1.0
5.400 -3.116 0.000
5.400 3.116 0.000
0.000 0.000 11.606
Tb Sm Ho
4 6 2
direct
0.001 0.333 0.250 Tb
0.333 0.001 0.750 Tb
0.667 0.999 0.250 Tb
0.999 0.667 0.750 Tb
0.000 0.000 0.000 Sm
0.000 0.000 0.500 Sm
0.334 0.334 0.000 Sm
0.334 0.334 0.500 Sm
0.666 0.666 0.000 Sm
0.666 0.666 0.500 Sm
0.334 0.666 0.250 Ho
0.666 0.334 0.750 Ho
```

Results
V	32.6	Å³ per atom
space group	Cmcm, No. 63
formation energy	-4	meV/atom

***

Entry 10:
VASP calculation (PBE) on Tb5Sm6Ho after structural relaxation.

Cell and atoms, written as POSCAR:
```
Tb5Sm6Ho
1.0
-2.538 5.073 7.617
2.538 -5.073 7.617
2.538 5.073 -7.617
Tb Sm Ho
5 6 1
direct
0.000 0.000 0.000 Tb
0.167 0.667 0.500 Tb
0.334 0.334 0.000 Tb
0.666 0.666 0.000 Tb
0.833 0.333 0.500 Tb
0.084 0.833 0.250 Sm
0.250 0.500 0.750 Sm
0.417 0.167 0.250 Sm
0.583 0.833 0.750 Sm
0.750 0.500 0.250 Sm
0.916 0.167 0.750 Sm
0.500 0.000 0.500 Ho
```

Results
V	32.7	Å³ per atom
space group	Immm, No. 71
formation energy	16	meV/atom

***

Entry 11:
VASP calculation (PBE) on TbSm3Ho12 after structural relaxation.

Cell and atoms, written as POSCAR:
```
TbSm3Ho12
1.0
5.012 0.000 0.000
0.000 5.012 0.000
0.000 0.000 20.058
Tb Sm Ho
1 3 12
direct
0.000 0.000 0.000 Tb
0.000 0.000 0.249 Sm
0.000 0.000 0.500 Sm
0.000 0.000 0.751 Sm
0.000 0.500 0.124 Ho
0.000 0.500 0.375 Ho
0.000 0.500 0.625 Ho
0.000 0.500 0.876 Ho
0.500 0.000 0.124 Ho
0.500 0.000 0.375 Ho
0.500 0.000 0.625 Ho
0.500 0.000 0.876 Ho
0.500 0.500 0.000 Ho
0.500 0.500 0.249 Ho
0.500 0.500 0.500 Ho
0.500 0.500 0.751 Ho
```

Results
V	31.5	Å³ per atom
space group	P4/mmm, No. 123
formation energy	20	meV/atom

***

Entry 12:
VASP calculation (PBE) on TbSm4Ho4 after structural relaxation.

Cell and atoms, written as POSCAR:
```
TbSm4Ho4
1.0
8.393 -2.788 0.000
8.393 2.788 0.000
-2.658 0.000 6.274
Tb Sm Ho
1 4 4
direct
0.000 0.000 0.000 Tb
0.219 0.219 0.287 Sm
0.367 0.367 0.038 Sm
0.633 0.633 0.962 Sm
0.781 0.781 0.713 Sm
0.128 0.128 0.683 Ho
0.427 0.427 0.621 Ho
0.573 0.573 0.379 Ho
0.872 0.872 0.317 Ho
```

Results
V	32.6	Å³ per atom
space group	C2/m, No. 12
formation energy	106	meV/atom

***

Entry 13:
VASP calculation (PBE) on Tb3Sm8Ho3 after structural relaxation.

Cell and atoms, written as POSCAR:
```
Tb3Sm8Ho3
1.0
-2.830 5.428 7.540
2.830 -5.428 7.540
2.830 5.428 -7.540
Tb Sm Ho
3 8 3
direct
0.000 0.000 0.000 Tb
0.180 0.680 0.500 Tb
0.820 0.320 0.500 Tb
0.119 0.277 0.842 Sm
0.235 0.896 0.339 Sm
0.435 0.277 0.158 Sm
0.442 0.104 0.339 Sm
0.558 0.896 0.661 Sm
0.565 0.723 0.842 Sm
0.765 0.104 0.661 Sm
0.881 0.723 0.158 Sm
0.200 0.500 0.700 Ho
0.500 0.500 0.000 Ho
0.800 0.500 0.300 Ho
```

Results
V	33.1	Å³ per atom
space group	Immm, No. 71
formation energy	108	meV/atom

***

Entry 14:
VASP calculation (PBE) on Tb2Sm9Ho after structural relaxation.

Cell and atoms, written as POSCAR:
```
Tb2Sm9Ho
1.0
5.102 0.000 0.000
0.000 5.102 0.000
0.000 0.000 15.291
Tb Sm Ho
2 9 1
direct
0.000 0.000 0.167 Tb
0.000 0.000 0.833 Tb
0.000 0.500 0.000 Sm
0.000 0.500 0.334 Sm
0.000 0.500 0.666 Sm
0.500 0.000 0.000 Sm
0.500 0.000 0.334 Sm
0.500 0.000 0.666 Sm
0.500 0.500 0.167 Sm
0.500 0.500 0.500 Sm
0.500 0.500 0.833 Sm
0.000 0.000 0.500 Ho
```

Results
V	33.2	Å³ per atom
space group	P4/mmm, No. 123
formation energy	18	meV/atom

***

Entry 15:
VASP calculation (PBE) on TbSm6Ho2 after structural relaxation.

Cell and atoms, written as POSCAR:
```
TbSm6Ho2
1.0
6.570 -3.793 0.000
6.570 3.793 0.000
-0.001 0.000 6.089
Tb Sm Ho
1 6 2
direct
0.000 0.000 0.000 Tb
0.188 0.188 0.713 Sm
0.188 0.622 0.712 Sm
0.378 0.812 0.288 Sm
0.622 0.188 0.712 Sm
0.812 0.378 0.288 Sm
0.812 0.812 0.287 Sm
0.333 0.333 0.217 Ho
0.667 0.667 0.783 Ho
```

Results
V	33.7	Å³ per atom
space group	C2/m, No. 12
formation energy	198	meV/atom

***

Entry 16:
VASP calculation (PBE) on Tb6SmHo8 after structural relaxation.

Cell and atoms, written as POSCAR:
```
Tb6SmHo8
1.0
4.508 2.603 6.842
-4.508 2.603 6.842
0.000 -5.205 6.842
Tb Sm Ho
6 1 8
direct
0.039 0.729 0.608 Tb
0.271 0.392 0.961 Tb
0.392 0.961 0.271 Tb
0.608 0.039 0.729 Tb
0.729 0.608 0.039 Tb
0.961 0.271 0.392 Tb
0.500 0.500 0.500 Sm
0.076 0.076 0.076 Ho
0.221 0.243 0.611 Ho
0.243 0.611 0.221 Ho
0.389 0.779 0.757 Ho
0.611 0.221 0.243 Ho
0.757 0.389 0.779 Ho
0.779 0.757 0.389 Ho
0.924 0.924 0.924 Ho
```

Results
V	32.1	Å³ per atom
space group	R-3, No. 148
formation energy	130	meV/atom

***

Entry 17:
VASP calculation (PBE) on Tb2SmHo after structural relaxation.

Cell and atoms, written as POSCAR:
```
Tb2SmHo
1.0
3.566 0.000 0.000
0.000 3.566 0.000
0.000 0.000 10.095
Tb Sm Ho
2 1 1
direct
0.000 0.000 0.247 Tb
0.000 0.000 0.753 Tb
0.500 0.500 0.500 Sm
0.500 0.500 0.000 Ho
```

Results
V	32.1	Å³ per atom
space group	P4/mmm, No. 123
formation energy	18	meV/atom

***

Entry 18:
VASP calculation (PBE) on Tb2Sm3Ho7 after structural relaxation.

Cell and atoms, written as POSCAR:
```
Tb2Sm3Ho7
1.0
5.803 0.000 0.000
0.000 3.558 0.000
-1.033 0.000 18.680
Tb Sm Ho
2 3 7
direct
0.209 0.000 0.293 Tb
0.791 0.000 0.707 Tb
0.000 0.000 0.000 Sm
0.279 0.500 0.633 Sm
0.721 0.500 0.367 Sm
0.189 0.500 0.143 Ho
0.243 0.000 0.462 Ho
0.309 0.000 0.824 Ho
0.500 0.500 0.000 Ho
0.691 0.000 0.176 Ho
0.757 0.000 0.538 Ho
0.811 0.500 0.857 Ho
```

Results
V	32.1	Å³ per atom
space group	P2/m, No. 10
formation energy	87	meV/atom

***

Entry 19:
VASP calculation (PBE) on Tb2Sm8Ho after structural relaxation.

Cell and atoms, written as POSCAR:
```
Tb2Sm8Ho
1.0
5.148 -6.735 0.000
5.148 6.735 0.000
-0.015 0.000 5.466
Tb Sm Ho
2 8 1
direct
0.119 0.881 0.000 Tb
0.881 0.119 0.000 Tb
0.166 0.166 0.500 Sm
0.201 0.470 0.999 Sm
0.248 0.752 0.500 Sm
0.470 0.201 0.999 Sm
0.530 0.799 0.001 Sm
0.752 0.248 0.500 Sm
0.799 0.530 0.001 Sm
0.834 0.834 0.500 Sm
0.500 0.500 0.500 Ho
```

Results
V	34.5	Å³ per atom
space group	C2/m, No. 12
formation energy	168	meV/atom

***

Entry 20:
VASP calculation (PBE) on Tb2Sm4Ho3 after structural relaxation.

Cell and atoms, written as POSCAR:
```
Tb2Sm4Ho3
1.0
8.634 -1.774 0.000
8.634 1.774 0.000
-1.755 0.000 9.539
Tb Sm Ho
2 4 3
direct
0.177 0.177 0.379 Tb
0.823 0.823 0.621 Tb
0.001 0.001 0.169 Sm
0.162 0.162 0.719 Sm
0.838 0.838 0.281 Sm
0.999 0.999 0.831 Sm
0.339 0.339 0.957 Ho
0.500 0.500 0.500 Ho
0.661 0.661 0.043 Ho
```

Results
V	32.5	Å³ per atom
space group	C2/m, No. 12
formation energy	49	meV/atom

***

Entry 21:
VASP calculation (PBE) on Tb2SmHo after structural relaxation.

Cell and atoms, written as POSCAR:
```
Tb2SmHo
1.0
5.679 0.000 0.000
0.000 7.287 0.000
0.000 0.000 6.300
Tb Sm Ho
4 2 2
direct
0.250 0.001 0.166 Tb
0.250 0.499 0.166 Tb
0.750 0.501 0.834 Tb
0.750 0.999 0.834 Tb
0.250 0.250 0.666 Sm
0.750 0.750 0.334 Sm
0.250 0.750 0.667 Ho
0.750 0.250 0.333 Ho
```

Results
V	32.6	Å³ per atom
space group	Pmmn, No. 59
formation energy	15	meV/atom